DFT (PBE) results for ZrRuSe3 after structural relaxation.

The structure in POSCAR format:
```
ZrRuSe3
1.0
-3.1622 -4.0670 0.5753
3.1820 -2.8846 -2.9025
2.5973 -1.4174 4.2562
Ru Se Zr
1 3 1
direct
0.5000 0.5000 0.5000 Ru
0.0000 0.5000 0.0000 Se
0.0000 0.0000 0.5000 Se
0.5000 0.0000 0.0000 Se
0.0000 0.0000 0.0000 Zr
```

Computed properties:
DOS(E_F) in states/eV/f.u.: 2.1
Magnetization in μB/cell: 3.7
VASP energy in eV per atom: -5.30
Polymorph energy (0 for the lowest one) in eV/f.u.: 0.87